Computed, not measured: Mn4Cl3O2 after structural relaxation at the PBE with a Hubbard U level of DFT.

a b c (Å): 7.3445 7.3445 7.7764
angles (deg): 103.05 103.05 55.95
Site moments in Bohr magnetons follow the coordinates.
Sites, in units of the cell vectors:
Mn: 0.9931 0.7289 0.5426  4.44
Mn: 0.2711 0.0069 0.9574  4.44
Mn: 0.0069 0.2711 0.4574  4.44
Mn: 0.7289 0.9931 0.0426  4.44
Mn: 0.6239 0.5629 0.1661  4.63
Mn: 0.4371 0.3761 0.3339  4.63
Mn: 0.3761 0.4371 0.8339  4.63
Mn: 0.5629 0.6239 0.6661  4.63
Cl: 0.9251 0.6527 0.8334  0.03
Cl: 0.3473 0.0749 0.6666  0.03
Cl: 0.0749 0.3473 0.1666  0.03
Cl: 0.6527 0.9251 0.3334  0.03
Cl: 0.1185 0.8815 0.2500  0.05
Cl: 0.8815 0.1185 0.7500  0.05
O: 0.6759 0.4737 0.4206  0.07
O: 0.5263 0.3241 0.0794  0.07
O: 0.3241 0.5263 0.5794  0.07
O: 0.4737 0.6759 0.9206  0.07

Summary:
DOS(E_F): 0.269 states/eV per atom
SG: C2/c
E: -111.28 eV for the cell shown
Total magnetic moment: 19.19 μB/f.u.